(1)
A crystal of Li2Ni relaxed with PBEsol, computed with meta-GGA SCAN.

Unit cell a=2.548 b=2.548 c=6.631 alpha=90.00 beta=90.00 gamma=120.00
Site moments in Bohr magnetons follow the coordinates.
Element x y z (fractional)
Ni: 0.000 0.000 0.000  0.29
Li: 0.333 0.667 0.304  -0.01
Li: 0.667 0.333 0.696  -0.01

Properties
Raw total energy in eV per atom: -6.91
E_form in eV per atom: 0.073

=====

(2)
A crystal of FeTc3Cl relaxed with PBEsol, computed with meta-GGA SCAN.

Unit cell a=4.237 b=4.237 c=4.237 alpha=90.00 beta=90.00 gamma=90.00
Site moments in Bohr magnetons follow the coordinates.
Element x y z (fractional)
Tc: 0.500 0.000 0.000  -0.31
Tc: 0.000 0.000 0.500  -0.31
Fe: 0.500 0.500 0.500  3.42
Cl: 0.000 0.000 0.000  -0.02
Tc: 0.000 0.500 0.000  -0.31

Properties
Raw total energy in eV per atom: -25.02
Formation energy from raw total energies in kJ/mol of formula units: 595